## Ni3MoRh3 (GGA-PBE)

Data for an optimized crystal structure of Ni3MoRh3.

Unit cell a=2.6766 b=10.6475 c=10.6475 alpha=120.00 beta=90.00 gamma=90.00
Each line ends with the local moment (μB).
Positions (direct):
Rh (0.2500, 0.1037, 0.6150)  0.19
Mo (0.2500, 0.6667, 0.3333)  -0.08
Ni (0.2500, 0.4093, 0.2627)  0.42
Ni (0.7500, 0.5907, 0.7373)  0.42
Ni (0.7500, 0.1467, 0.4093)  0.42
Rh (0.7500, 0.8963, 0.3850)  0.19
Mo (0.7500, 0.3333, 0.6667)  -0.08
Rh (0.7500, 0.4887, 0.1037)  0.19
Ni (0.7500, 0.2627, 0.8533)  0.42
Ni (0.2500, 0.8533, 0.5907)  0.42
Rh (0.2500, 0.3850, 0.4887)  0.19
Ni (0.2500, 0.7373, 0.1467)  0.42
Rh (0.7500, 0.6150, 0.5113)  0.19
Rh (0.2500, 0.5113, 0.8963)  0.19

Output
raw total energy	-6.77	eV per atom